{
  "formula": "AlTlIN2",
  "functional": "GGA-PBE",
  "state": "relaxed",
  "density_g_cm3": 6.41,
  "de_polymorph_ev_per_atom": 0.0000,
  "magnetic_moment_mub_per_fu": 0.9,
  "formation_energy_uncorrected_ev_per_atom": 0.93,
  "cell": [[4.0817, 0.0000, 0.0000], [0.0000, 4.0817, 0.0000], [0.0000, 0.0000, 6.0019]],
  "species": ["Al", "Tl", "I", "N", "N"],
  "frac_coords": [[0.0000, 0.0000, 0.0000], [0.5000, 0.5000, 0.5000], [0.0000, 0.0000, 0.5000], [0.0000, 0.5000, 0.0000], [0.5000, 0.0000, 0.0000]]
}



{
  "formula": "AlVIN2",
  "functional": "GGA-PBE",
  "state": "relaxed",
  "density_g_cm3": 4.79,
  "de_polymorph_ev_per_atom": 0.5027,
  "magnetic_moment_mub_per_fu": 0.0,
  "formation_energy_uncorrected_ev_per_atom": 1.12,
  "cell": [[3.7782, 0.0000, 0.0000], [0.0000, 3.7782, 0.0000], [0.0000, 0.0000, 5.6596]],
  "species": ["Al", "V", "I", "N", "N"],
  "frac_coords": [[0.0000, 0.0000, 0.0000], [0.5000, 0.5000, 0.5000], [0.0000, 0.0000, 0.5000], [0.0000, 0.5000, 0.0000], [0.5000, 0.0000, 0.0000]]
}



{
  "formula": "AlVIN2",
  "functional": "GGA-PBE",
  "state": "relaxed",
  "density_g_cm3": 4.62,
  "de_polymorph_ev_per_atom": 0.0000,
  "magnetic_moment_mub_per_fu": 0.0,
  "formation_energy_uncorrected_ev_per_atom": 0.61,
  "cell": [[3.9026, 0.0000, 0.0000], [0.0000, 3.9026, 0.0000], [0.0000, 0.0000, 5.4914]],
  "species": ["Al", "V", "I", "N", "N"],
  "frac_coords": [[0.0000, 0.0000, 0.0000], [0.5000, 0.5000, 0.5000], [0.5000, 0.5000, 0.0000], [0.0000, 0.5000, 0.5000], [0.5000, 0.0000, 0.5000]]
}



{
  "formula": "AlWIN2",
  "functional": "GGA-PBE",
  "state": "relaxed",
  "density_g_cm3": 6.56,
  "de_polymorph_ev_per_atom": 0.0000,
  "magnetic_moment_mub_per_fu": 0.0,
  "formation_energy_uncorrected_ev_per_atom": 0.65,
  "cell": [[4.0204, 0.0000, 0.0000], [0.0000, 4.0204, 0.0000], [0.0000, 0.0000, 5.7286]],
  "species": ["Al", "W", "I", "N", "N"],
  "frac_coords": [[0.0000, 0.0000, 0.0000], [0.5000, 0.5000, 0.5000], [0.5000, 0.5000, 0.0000], [0.0000, 0.5000, 0.5000], [0.5000, 0.0000, 0.5000]]
}



{
  "formula": "AlWIN2",
  "functional": "GGA-PBE",
  "state": "relaxed",
  "density_g_cm3": 7.40,
  "de_polymorph_ev_per_atom": 0.9861,
  "magnetic_moment_mub_per_fu": 1.2,
  "formation_energy_uncorrected_ev_per_atom": 1.64,
  "cell": [[3.9053, 0.0000, 0.0000], [0.0000, 3.9053, 0.0000], [0.0000, 0.0000, 5.3802]],
  "species": ["Al", "W", "I", "N", "N"],
  "frac_coords": [[0.0000, 0.0000, 0.0000], [0.5000, 0.5000, 0.5000], [0.0000, 0.0000, 0.5000], [0.0000, 0.5000, 0.0000], [0.5000, 0.0000, 0.0000]]
}



{
  "formula": "Al2ZnIN",
  "functional": "GGA-PBE",
  "state": "relaxed",
  "density_g_cm3": 4.01,
  "magnetic_moment_mub_per_fu": 0.0,
  "formation_energy_uncorrected_ev_per_atom": 0.23,
  "cell": [[3.8754, 0.0000, 0.0000], [0.0000, 3.8754, 0.0000], [0.0000, 0.0000, 7.1853]],
  "species": ["Al", "Al", "Zn", "I", "N"],
  "frac_coords": [[0.0000, 0.5000, 0.0000], [0.5000, 0.0000, 0.0000], [0.0000, 0.0000, 0.5000], [0.5000, 0.5000, 0.5000], [0.5000, 0.5000, 0.0000]]
}